one.
## PuThSi4 (GGA-PBE)

Data for a relaxed PuThSi4 crystal.

Unit cell a=3.989 b=4.042 c=7.053 alpha=90.00 beta=90.00 gamma=90.00
Fractional positions:
Si: 0.000 0.500 0.660
Si: 0.000 0.000 0.174
Pu: 0.500 0.000 0.500
Si: 0.000 0.500 0.340
Si: 0.000 0.000 0.826
Th: 0.500 0.500 0.000

Summary:
As for the space group: Pmmm.

***

two.
## PuThSi4 (GGA-PBE)

Data for a relaxed PuThSi4 crystal.

Unit cell a=5.346 b=5.346 c=5.346 alpha=60.00 beta=60.00 gamma=60.00
Last column: magnetic moment on the atom in μB.
Fractional positions:
Th: 0.250 0.250 0.250  0.21
Pu: 0.000 0.000 0.000  5.26
Si: 0.118 0.627 0.627  -0.04
Si: 0.627 0.627 0.627  -0.04
Si: 0.627 0.118 0.627  -0.04
Si: 0.627 0.627 0.118  -0.04

Summary:
As for the space group: F-43m.

***

Each structure's energy above the most stable one, in kJ/mol of atoms: one 13.7; two 0.0.

***

one.
## PuThSi (GGA-PBE)

Data for a relaxed PuThSi crystal.

Unit cell a=5.041 b=3.410 c=8.229 alpha=90.00 beta=90.00 gamma=90.00
Last column: magnetic moment on the atom in μB.
Fractional positions:
Si: 0.500 0.500 0.153  -0.03
Pu: 0.000 0.500 0.676  5.20
Si: 0.500 0.500 0.847  -0.03
Pu: 0.000 0.500 0.324  5.20
Th: 0.500 0.000 0.500  0.12
Th: 0.000 0.000 0.000  0.17

Summary:
As for the space group: Pmmm.

***

two.
## PuThSi (GGA-PBE)

Data for a relaxed PuThSi crystal.

Unit cell a=3.583 b=4.806 c=4.806 alpha=120.00 beta=90.00 gamma=90.00
Last column: magnetic moment on the atom in μB.
Fractional positions:
Si: 0.279 0.333 0.667  -0.03
Th: 0.662 0.667 0.333  0.37
Pu: 0.059 0.000 0.000  5.47

Summary:
As for the space group: P3m1.

***

Each structure's energy above the most stable one, in kJ/mol of atoms: one 0.0; two 1.0.

***

one.
## TmPuSi4 (GGA-PBE)

Data for a relaxed TmPuSi4 crystal.

Unit cell a=5.263 b=5.263 c=5.263 alpha=60.00 beta=60.00 gamma=60.00
Last column: magnetic moment on the atom in μB.
Fractional positions:
Pu: 0.000 0.000 0.000  5.50
Si: 0.126 0.625 0.625  0.00
Si: 0.625 0.625 0.126  0.00
Tm: 0.250 0.250 0.250  0.46
Si: 0.625 0.126 0.625  0.00
Si: 0.625 0.625 0.625  0.00

Summary:
As for the space group: F-43m.

***

two.
## TmPuSi4 (GGA-PBE)

Data for a relaxed TmPuSi4 crystal.

Unit cell a=4.001 b=8.232 c=14.405 alpha=90.00 beta=90.00 gamma=90.00
Last column: magnetic moment on the atom in μB.
Fractional positions:
Si: 0.500 0.820 0.191  -0.02
Si: 0.500 0.180 0.809  -0.02
Si: 0.500 0.871 0.030  -0.02
Tm: 0.000 0.139 0.415  -0.07
Si: 0.500 0.038 0.290  -0.02
Si: 0.500 0.538 0.210  -0.02
Si: 0.500 0.680 0.691  -0.02
Tm: 0.000 0.361 0.915  -0.07
Si: 0.500 0.628 0.932  -0.01
Si: 0.500 0.962 0.710  -0.02
Pu: 0.000 0.891 0.862  5.21
Si: 0.500 0.320 0.309  -0.02
Pu: 0.000 0.609 0.362  5.21
Si: 0.500 0.872 0.432  -0.01
Si: 0.500 0.129 0.970  -0.02
Si: 0.500 0.462 0.790  -0.02
Pu: 0.000 0.391 0.638  5.21
Si: 0.500 0.128 0.568  -0.01
Si: 0.500 0.371 0.470  -0.02
Si: 0.500 0.629 0.530  -0.02
Tm: 0.000 0.639 0.085  -0.07
Tm: 0.000 0.861 0.585  -0.07
Pu: 0.000 0.109 0.138  5.21
Si: 0.500 0.372 0.068  -0.01

Summary:
As for the space group: Pbam.

***

Each structure's energy above the most stable one, in kJ/mol of atoms: one 0.0; two 2.2.

***

one.
## Tm2PuSi (GGA-PBE)

Data for a relaxed Tm2PuSi crystal.

Unit cell a=4.413 b=4.609 c=4.609 alpha=90.00 beta=90.00 gamma=90.00
Last column: magnetic moment on the atom in μB.
Fractional positions:
Pu: 0.500 0.500 0.500  5.46
Tm: 0.000 0.500 0.000  0.33
Tm: 0.000 0.000 0.500  0.33
Si: 0.500 0.000 0.000  -0.05

Summary:
As for the space group: P4/mmm.

***

two.
## Tm2PuSi (GGA-PBE)

Data for a relaxed Tm2PuSi crystal.

Unit cell a=3.498 b=3.498 c=10.064 alpha=79.99 beta=79.99 gamma=60.00
Last column: magnetic moment on the atom in μB.
Fractional positions:
Tm: 0.735 0.735 0.795  0.19
Tm: 0.265 0.265 0.205  0.19
Si: 0.000 0.000 0.000  0.03
Pu: 0.500 0.500 0.500  5.66

Summary:
As for the space group: R-3m.

***

Each structure's energy above the most stable one, in kJ/mol of atoms: one 0.0; two 10.8.

***

one.
## TmPuSi (GGA-PBE)

Data for a relaxed TmPuSi crystal.

Unit cell a=4.809 b=4.809 c=4.809 alpha=60.00 beta=60.00 gamma=60.00
Last column: magnetic moment on the atom in μB.
Fractional positions:
Pu: 0.500 0.500 0.500  5.45
Si: 0.250 0.250 0.250  -0.09
Tm: 0.000 0.000 0.000  0.40

Summary:
As for the space group: F-43m.

***

two.
## TmPuSi (GGA-PBE)

Data for a relaxed TmPuSi crystal.

Unit cell a=4.638 b=3.245 c=9.353 alpha=90.00 beta=90.00 gamma=90.00
Last column: magnetic moment on the atom in μB.
Fractional positions:
Tm: 0.500 0.000 0.500  0.16
Tm: 0.000 0.000 0.000  0.54
Si: 0.000 0.500 0.362  -0.01
Pu: 0.500 0.500 0.175  5.57
Si: 0.000 0.500 0.638  -0.01
Pu: 0.500 0.500 0.825  5.57

Summary:
As for the space group: Pmmm.

***

Each structure's energy above the most stable one, in kJ/mol of atoms: one 0.0; two 18.7.

***

one.
## Pu2USi (GGA-PBE)

Data for a relaxed Pu2USi crystal.

Unit cell a=3.671 b=3.671 c=6.047 alpha=90.00 beta=90.00 gamma=90.00
Last column: magnetic moment on the atom in μB.
Fractional positions:
Si: 0.500 0.500 0.000  -0.06
Pu: 0.000 0.000 0.236  4.83
Pu: 0.000 0.000 0.764  4.83
U: 0.500 0.500 0.500  0.12

Summary:
As for the space group: P4/mmm.

***

two.
## Pu2USi (GGA-PBE)

Data for a relaxed Pu2USi crystal.

Unit cell a=3.653 b=6.720 c=6.910 alpha=90.00 beta=90.00 gamma=90.00
Last column: magnetic moment on the atom in μB.
Fractional positions:
Pu: 0.799 0.124 0.363  -4.83
Pu: 0.299 0.624 0.421  -4.83
Si: 0.299 0.247 0.678  0.01
U: 0.299 0.398 0.077  -0.05
Pu: 0.299 0.664 0.787  2.59
Pu: 0.799 0.164 0.997  2.59
Si: 0.799 0.747 0.106  0.01
U: 0.799 0.898 0.707  -0.05

Summary:
As for the space group: Pmn2_1.

***

three.
## Pu2USi (GGA-PBE)

Data for a relaxed Pu2USi crystal.

Unit cell a=4.234 b=4.330 c=4.330 alpha=90.00 beta=90.00 gamma=90.00
Last column: magnetic moment on the atom in μB.
Fractional positions:
U: 0.500 0.000 0.000  -0.88
Pu: 0.000 0.000 0.500  4.40
Pu: 0.000 0.500 0.000  4.40
Si: 0.500 0.500 0.500  -0.06

Summary:
As for the space group: P4/mmm.

***

Each structure's energy above the most stable one, in kJ/mol of atoms: one 3.9; two 16.8; three 0.0.

***

one.
## PuUSi (GGA-PBE)

Data for a relaxed PuUSi crystal.

Unit cell a=4.398 b=5.178 c=5.857 alpha=80.06 beta=67.95 gamma=64.87
Last column: magnetic moment on the atom in μB.
Fractional positions:
Pu: 0.117 0.474 0.291  0.06
U: 0.756 0.205 0.283  0.02
Si: 0.493 0.181 0.833  0.00
U: 0.244 0.795 0.717  0.02
Pu: 0.883 0.526 0.709  0.06
Si: 0.507 0.819 0.167  0.00

Summary:
As for the space group: C2/m.

***

two.
## PuUSi (GGA-PBE)

Data for a relaxed PuUSi crystal.

Unit cell a=3.035 b=4.638 c=4.638 alpha=120.00 beta=90.00 gamma=90.00
Last column: magnetic moment on the atom in μB.
Fractional positions:
Pu: 0.302 0.667 0.333  4.70
U: 0.064 0.000 0.000  0.29
Si: 0.634 0.333 0.667  -0.03

Summary:
As for the space group: P3m1.

***

Each structure's energy above the most stable one, in kJ/mol of atoms: one 0.0; two 18.2.

***

one.
## PuVSi2 (GGA-PBE)

Data for a relaxed PuVSi2 crystal.

Unit cell a=3.236 b=3.236 c=6.313 alpha=90.00 beta=90.00 gamma=90.00
Last column: magnetic moment on the atom in μB.
Fractional positions:
Si: 0.000 0.000 0.191  -0.04
V: 0.500 0.500 0.000  -0.27
Pu: 0.500 0.500 0.500  5.25
Si: 0.000 0.000 0.809  -0.04

Summary:
As for the space group: P4/mmm.

***

two.
## PuVSi2 (GGA-PBE)

Data for a relaxed PuVSi2 crystal.

Unit cell a=2.705 b=2.705 c=9.419 alpha=81.74 beta=81.74 gamma=60.00
Last column: magnetic moment on the atom in μB.
Fractional positions:
Pu: 0.500 0.500 0.500  2.06
V: 0.000 0.000 0.000  0.06
Si: 0.742 0.742 0.774  -0.01
Si: 0.258 0.258 0.226  -0.01

Summary:
As for the space group: R-3m.

***

Each structure's energy above the most stable one, in kJ/mol of atoms: one 0.0; two 28.3.